Compound: RbZnPb
Source: Alexandria
Functional: PBE
Structure: relaxed

The structure in CIF format:
```
data_RbZnPb
_cell_length_a 6.829
_cell_length_b 4.442
_cell_length_c 7.110
_cell_angle_alpha 90.00
_cell_angle_beta 93.90
_cell_angle_gamma 90.00
_symmetry_space_group_name_H-M 'P 1 21/m 1'
_symmetry_Int_Tables_number 11
_symmetry_space_group_name_Hall '-P 2yb'
loop_
_atom_site_label
_atom_site_type_symbol
_atom_site_fract_x
_atom_site_fract_y
_atom_site_fract_z
Rb1 Rb 0.083 0.250 0.248
Zn1 Zn 0.429 0.750 0.555
Pb1 Pb 0.406 0.250 0.821
```

Energy above the lowest structure with this stoichiometry = 1 meV/atom
ΔH_f (0 K) = -0.01 eV per atom
E = -0.1467 Ry per atom